Entry from Alexandria: a relaxed LiNiP2O7 crystal (PBE with a Hubbard U).

Computed properties:
The value obtained for the raw total energy is -280.73 eV/cell. The density of states at the Fermi level comes out at 0.4 states/eV/cell.

Cell lengths 14.9350, 4.9693, 8.6065 Å; angles 90.00, 107.99, 90.00 degrees
Closest atoms and distances in Å follow each position.
Space group Cc (No. 9)
One atom of each set of equivalent atoms:
Li1 0.0000 0.1660 0.0000  3 O 1.88-2.05
Ni1 0.2014 0.0116 0.0294  4 O 1.85-1.92
P1 0.1020 0.3661 0.7278  4 O 1.48-1.64
P2 0.2994 0.3592 0.8199  4 O 1.49-1.65
O1 0.0227 0.4428 0.1644  1 P 1.48
O2 0.1025 0.2300 0.8909  1 P 1.56
O3 0.1066 0.1426 0.6016  1 P 1.57
O4 0.2009 0.4656 0.2701  2 P 1.64-1.65
O5 0.2945 0.1683 0.9589  1 P 1.55
O6 0.2976 0.2070 0.6623  1 P 1.55
O7 0.3807 0.4522 0.3693  1 P 1.49